Entry 1:
Material: WS2N2
Method: DFT, PBE
State: relaxed

Output
ΔE_f (raw) = 1.75 eV/atom
Spin magnetization = 0.000 μB/atom
Energy above the lowest structure with this stoichiometry = 1.0416 eV/atom

Lattice parameters (Å, degrees): 3.6186 3.6186 4.2807 90.00 90.00 90.00
Positions (direct):
S1 0.0000 0.0000 0.0000
S2 0.0000 0.0000 0.5000
W1 0.5000 0.5000 0.5000
N1 0.0000 0.5000 0.0000
N2 0.5000 0.0000 0.0000

=====

Entry 2:
Material: YWS2N
Method: DFT, PBE
State: relaxed

Output
ΔE_f (raw) = -0.68 eV/atom
Spin magnetization = 0.018 μB/atom
Energy above the lowest structure with this stoichiometry = 0.0000 eV/atom

Lattice parameters (Å, degrees): 4.8335 4.8335 3.8372 90.00 90.00 90.00
Positions (direct):
Y1 0.5000 0.5000 0.5000
S1 0.0000 0.5000 0.0000
S2 0.5000 0.0000 0.0000
W1 0.0000 0.0000 0.0000
N1 0.0000 0.0000 0.5000

=====

Entry 3:
Material: YWS2N
Method: DFT, PBE
State: relaxed

Output
ΔE_f (raw) = 1.02 eV/atom
Spin magnetization = 0.400 μB/atom
Energy above the lowest structure with this stoichiometry = 1.7011 eV/atom

Lattice parameters (Å, degrees): 5.1772 5.1772 4.2831 90.00 90.00 90.00
Positions (direct):
Y1 0.0000 0.0000 0.0000
S1 0.0000 0.5000 0.0000
S2 0.5000 0.0000 0.0000
W1 0.5000 0.5000 0.5000
N1 0.0000 0.0000 0.5000

=====

Entry 4:
Material: ZnWSN2
Method: DFT, PBE
State: relaxed

Output
ΔE_f (raw) = 1.84 eV/atom
Spin magnetization = 0.000 μB/atom
Energy above the lowest structure with this stoichiometry = 1.5753 eV/atom

Lattice parameters (Å, degrees): 3.7379 3.7379 4.6468 90.00 90.00 90.00
Positions (direct):
Zn1 0.0000 0.0000 0.0000
S1 0.0000 0.0000 0.5000
W1 0.5000 0.5000 0.5000
N1 0.0000 0.5000 0.0000
N2 0.5000 0.0000 0.0000